VASP calculation (PBE-GGA) on a geometry-optimized Cs4Ce3PrTe8 structure.

Properties
Calculated volume: 43.0 A^3/atom
Formation energy (no corrections): -1363 meV/atom
Crystal system: trigonal
DOS at the Fermi energy: 19.273 states/eV per cell

Cell lengths 9.4425, 10.4529, 9.4431 Å; angles 116.86, 120.00, 90.00 degrees
With the nearest neighbours (Å) after each atom.
Positions (direct):
Te 0.7309 0.6947 0.9628  2 Ce 3.23, 1 Pr 3.24
Ce 0.5000 0.5000 0.0000  6 Te 3.23
Ce 0.0000 0.5000 0.5000  6 Te 3.23
Cs 0.5000 0.0000 0.0000  6 Te 3.85
Te 0.7681 0.3053 0.5362  2 Ce 3.23, 1 Pr 3.24
Te 0.2319 0.6947 0.9628  2 Ce 3.23, 1 Pr 3.24
Te 0.2687 0.3063 0.5375  3 Ce 3.23
Te 0.2691 0.3053 0.0372  2 Ce 3.23, 1 Pr 3.24
Te 0.2319 0.6947 0.4638  2 Ce 3.23, 1 Pr 3.24
Cs 0.0000 0.0000 0.0000  6 Te 3.85-3.86
Te 0.7681 0.3053 0.0372  2 Ce 3.23, 1 Pr 3.24
Cs 0.5000 0.0000 0.5000  6 Te 3.85-3.86
Te 0.7313 0.6937 0.4625  3 Ce 3.23
Cs 0.0000 0.0000 0.5000  6 Te 3.85-3.86
Pr 0.0000 0.5000 0.0000  6 Te 3.24
Ce 0.5000 0.5000 0.5000  6 Te 3.23